Entry 1:
Below is a geometry-optimized Zr4MoC5 structure, with properties calculated at the GGA-PBEsol level.

a b c (Å): 13.3921 13.3921 13.3921
angles (deg): 13.94 13.94 13.94
Closest atoms and distances in Å follow each position.
Sites, in units of the cell vectors:
Zr 0.1027 0.1027 0.1027  6 C 2.31-2.32
Zr 0.2991 0.2991 0.2991  6 C 2.32
Zr 0.7009 0.7009 0.7009  6 C 2.32
Zr 0.8973 0.8973 0.8973  6 C 2.31-2.32
Mo 0.5000 0.5000 0.5000  6 C 2.21
C 0.0000 0.0000 0.0000  6 Zr 2.32
C 0.1962 0.1962 0.1962  3 Mo 2.21, 3 Zr 2.32
C 0.4020 0.4020 0.4020  6 Zr 2.31-2.32
C 0.5980 0.5980 0.5980  6 Zr 2.31-2.32
C 0.8038 0.8038 0.8038  3 Mo 2.21, 3 Zr 2.32

Values from the calculation:
Raw total energy (eV per atom): -10.3672
Magnetization (μB per cell): 0.0
Formation energy (meV per atom): -732.7

Entry 2:
Below is a geometry-optimized NbZn2As2 structure, with properties calculated at the GGA-PBEsol level.

a b c (Å): 3.4221 3.4221 14.7779
angles (deg): 90.00 90.00 90.00
Closest atoms and distances in Å follow each position.
Sites, in units of the cell vectors:
Nb 0.0000 0.0000 0.0000  8 As 2.76
Nb 0.5000 0.5000 0.5000  8 As 2.76
Zn 0.0000 0.5000 0.2500  4 Zn 2.42
Zn 0.0000 0.5000 0.7500  4 Zn 2.42
Zn 0.5000 0.0000 0.2500  4 Zn 2.42
Zn 0.5000 0.0000 0.7500  4 Zn 2.42
As 0.0000 0.0000 0.4095  1 As 2.67, 4 Nb 2.76, 4 Zn 2.91
As 0.0000 0.0000 0.5905  1 As 2.67, 4 Nb 2.76, 4 Zn 2.91
As 0.5000 0.5000 0.0905  1 As 2.67, 4 Nb 2.76, 4 Zn 2.91
As 0.5000 0.5000 0.9095  1 As 2.67, 4 Nb 2.76, 4 Zn 2.91

Values from the calculation:
Raw total energy (eV per atom): -4.8197
Magnetization (μB per cell): 0.0
Formation energy (meV per atom): 19.9

| no. | Fermi-level density of states (states/eV per atom) |
| --- | --- |
| 1 | 0.25 |
| 2 | 0.62 |